A plane-wave DFT calculation with PBE-GGA was carried out for an optimized crystal structure of Mg4Sn3Pd2.

Results
As for the energy relative to the elements: -8.8 kcal/mol of atoms. The density of states at the Fermi level is 0.382 states/eV per atom. As for the space-group type: C2/m, No. 12.

a = 4.592 Å, b = 5.803 Å, c = 7.474 Å
α = 95.05°, β = 107.89°, γ = 90.00°
Fractional coordinates of all 9 atoms:
Pd: 0.595 0.366 0.191
Pd: 0.405 0.634 0.809
Sn: 0.000 0.500 0.000
Sn: 0.165 0.143 0.330
Sn: 0.835 0.857 0.670
Mg: 0.414 0.145 0.827
Mg: 0.788 0.349 0.576
Mg: 0.212 0.651 0.424
Mg: 0.586 0.855 0.173